MgGaAgGe | GGA-PBE | relaxed

Fermi-level density of states, states/eV/f.u.: 2.0
E_form, meV per atom: 20

Geometry as CIF:
```
data_MgGaAgGe
_chemical_formula_sum 'Mg1 Ga1 Ag1 Ge1'
_symmetry_space_group_name_H-M 'P 1'
_symmetry_Int_Tables_number 1
_symmetry_space_group_name_Hall 'P 1'
_cell_length_a 4.7370
_cell_length_b 4.7370
_cell_length_c 4.7370
_cell_angle_alpha 60.00
_cell_angle_beta 60.00
_cell_angle_gamma 60.00
loop_
_atom_site_label
_atom_site_fract_x
_atom_site_fract_y
_atom_site_fract_z
Ge1 0.2500 0.2500 0.2500
Ga1 0.5000 0.5000 0.5000
Mg1 0.0000 0.0000 0.0000
Ag1 0.7500 0.7500 0.7500
```

---

Ba2Sr9Ca4 | GGA-PBE | relaxed

Fermi-level density of states, states/eV/f.u.: 17.7
E_form, meV per atom: 21

Geometry as CIF:
```
data_Ba2Sr9Ca4
_chemical_formula_sum 'Ba4 Sr18 Ca8'
_symmetry_space_group_name_H-M 'P 1'
_symmetry_Int_Tables_number 1
_symmetry_space_group_name_Hall 'P 1'
_cell_length_a 12.1001
_cell_length_b 10.4618
_cell_length_c 16.8518
_cell_angle_alpha 86.38
_cell_angle_beta 107.38
_cell_angle_gamma 53.20
loop_
_atom_site_label
_atom_site_fract_x
_atom_site_fract_y
_atom_site_fract_z
Sr1 0.9103 0.4246 0.4139
Sr2 0.0146 0.3254 0.7203
Sr3 0.5739 0.0902 0.0824
Sr4 0.4517 0.5506 0.3479
Sr5 0.3271 0.0198 0.6199
Sr6 0.1184 0.2307 0.0175
Sr7 0.3533 0.6428 0.0507
Sr8 0.0897 0.5754 0.5861
Sr9 0.7719 0.8801 0.6837
Sr10 0.9854 0.6746 0.2797
Sr11 0.6467 0.3572 0.9493
Sr12 0.7466 0.2533 0.2486
Sr13 0.8816 0.7693 0.9825
Sr14 0.2534 0.7467 0.7514
Sr15 0.5483 0.4494 0.6521
Sr16 0.4261 0.9098 0.9176
Sr17 0.6729 0.9802 0.3801
Sr18 0.2281 0.1199 0.3163
Ba1 0.0507 0.9525 0.1483
Ba2 0.1533 0.8491 0.4497
Ba3 0.8467 0.1509 0.5503
Ba4 0.9493 0.0475 0.8517
Ca1 0.5177 0.8117 0.2109
Ca2 0.7148 0.6118 0.8162
Ca3 0.8149 0.5133 0.1195
Ca4 0.6164 0.7099 0.5182
Ca5 0.2852 0.3882 0.1838
Ca6 0.4823 0.1883 0.7891
Ca7 0.1851 0.4867 0.8805
Ca8 0.3836 0.2901 0.4818
```

---

ScCr2Ni | GGA-PBE | relaxed

Fermi-level density of states, states/eV/f.u.: 5.6
Energy relative to the lowest polymorph listed for this composition, eV per atom: 0.250
E_form, meV per atom: 294

Geometry as CIF:
```
data_ScCr2Ni
_chemical_formula_sum 'Sc1 Cr2 Ni1'
_symmetry_space_group_name_H-M 'P 1'
_symmetry_Int_Tables_number 1
_symmetry_space_group_name_Hall 'P 1'
_cell_length_a 5.0885
_cell_length_b 5.0885
_cell_length_c 2.6082
_cell_angle_alpha 80.55
_cell_angle_beta 80.55
_cell_angle_gamma 122.00
loop_
_atom_site_label
_atom_site_fract_x
_atom_site_fract_y
_atom_site_fract_z
Ni1 0.5000 0.0000 0.5000
Sc1 0.0000 0.5000 0.5000
Cr1 0.5000 0.5000 0.0000
Cr2 0.0000 0.0000 0.0000
```